Entry 1:
Crystalline Mn2VNiN at its relaxed geometry, computed with PBE.

Properties
- space-group type = P4/mmm (123)
- E (eV per atom) = -8.60
- uncorrected formation energy (eV/atom) = -0.2891
- density of states at the Fermi level (states/eV/atom) = 1.06

Lattice parameters (Å, degrees): 3.760 3.760 3.892 90.00 90.00 90.00
Element x y z (fractional)
Ni1 0.500 0.500 0.500
N1 0.000 0.000 0.000
V1 0.000 0.000 0.500
Mn1 0.000 0.500 0.000
Mn2 0.500 0.000 0.000


Entry 2:
Crystalline MnV2NiN at its relaxed geometry, computed with PBE.

Properties
- space-group type = P4/mmm (123)
- E (eV per atom) = -8.71
- uncorrected formation energy (eV/atom) = -0.4116
- density of states at the Fermi level (states/eV/atom) = 1.17

Lattice parameters (Å, degrees): 3.887 3.887 3.745 90.00 90.00 90.00
Element x y z (fractional)
V1 0.500 0.000 0.000
V2 0.000 0.500 0.000
Ni1 0.500 0.500 0.500
N1 0.000 0.000 0.000
Mn1 0.000 0.000 0.500


Entry 3:
Crystalline Mn2NiWN at its relaxed geometry, computed with PBE.

Properties
- space-group type = P4/mmm (123)
- E (eV per atom) = -9.15
- uncorrected formation energy (eV/atom) = -0.0674
- density of states at the Fermi level (states/eV/atom) = 0.95

Lattice parameters (Å, degrees): 3.761 3.761 4.052 90.00 90.00 90.00
Element x y z (fractional)
Mn1 0.000 0.500 0.000
Mn2 0.500 0.000 0.000
W1 0.000 0.000 0.500
Ni1 0.500 0.500 0.500
N1 0.000 0.000 0.000


Entry 4:
Crystalline YMnNiN2 at its relaxed geometry, computed with PBE.

Properties
- space-group type = P4/mmm (123)
- E (eV per atom) = -6.36
- uncorrected formation energy (eV/atom) = 1.2485
- density of states at the Fermi level (states/eV/atom) = 0.71

Lattice parameters (Å, degrees): 3.891 4.784 3.891 90.00 90.00 90.00
Element x y z (fractional)
N1 0.500 0.000 0.000
N2 0.000 0.000 0.500
Y1 0.000 0.500 0.000
Ni1 0.000 0.000 0.000
Mn1 0.500 0.500 0.500


Entry 5:
Crystalline MnZnNi2N at its relaxed geometry, computed with PBE.

Properties
- space-group type = P4/mmm (123)
- E (eV per atom) = -6.24
- uncorrected formation energy (eV/atom) = -0.1696
- density of states at the Fermi level (states/eV/atom) = 0.82

Lattice parameters (Å, degrees): 3.818 3.818 3.764 90.00 90.00 90.00
Element x y z (fractional)
N1 0.000 0.000 0.000
Mn1 0.000 0.000 0.500
Ni1 0.000 0.500 0.000
Ni2 0.500 0.000 0.000
Zn1 0.500 0.500 0.500


Entry 6:
Crystalline NpMnN2 at its relaxed geometry, computed with PBE.

Properties
- space-group type = Pnma (62)
- E (eV per atom) = -10.51
- uncorrected formation energy (eV/atom) = -0.8164
- density of states at the Fermi level (states/eV/atom) = 1.33

Lattice parameters (Å, degrees): 3.169 5.351 10.561 90.00 90.00 90.00
Element x y z (fractional)
Np1 0.250 0.918 0.857
Np2 0.250 0.418 0.643
Np3 0.750 0.082 0.143
Np4 0.750 0.582 0.357
N1 0.250 0.837 0.247
N2 0.750 0.163 0.753
N3 0.750 0.242 0.494
N4 0.750 0.742 0.006
N5 0.250 0.258 0.994
N6 0.750 0.663 0.747
N7 0.250 0.337 0.253
N8 0.250 0.758 0.506
Mn1 0.250 0.583 0.098
Mn2 0.750 0.917 0.598
Mn3 0.250 0.083 0.402
Mn4 0.750 0.417 0.902


Entry 7:
Crystalline NpMnN at its relaxed geometry, computed with PBE.

Properties
- space-group type = P3m1 (156)
- E (eV per atom) = -10.36
- uncorrected formation energy (eV/atom) = -0.2138
- density of states at the Fermi level (states/eV/atom) = 1.13

Lattice parameters (Å, degrees): 3.303 3.631 3.631 120.00 90.00 90.00
Element x y z (fractional)
N1 0.874 0.000 0.000
Mn1 0.804 0.333 0.667
Np1 0.322 0.667 0.333


Entry 8:
Crystalline NpMnN2 at its relaxed geometry, computed with PBE.

Properties
- space-group type = R-3m (166)
- E (eV per atom) = -10.35
- uncorrected formation energy (eV/atom) = -0.6568
- density of states at the Fermi level (states/eV/atom) = 1.53

Lattice parameters (Å, degrees): 3.550 3.550 6.053 72.95 72.95 60.00
Element x y z (fractional)
Mn1 0.000 0.000 0.000
N1 0.110 0.110 0.671
N2 0.890 0.890 0.329
Np1 0.500 0.500 0.500


Entry 9:
Crystalline Np3Mn5N12 at its relaxed geometry, computed with PBE.

Properties
- space-group type = Ia-3d (230)
- E (eV per atom) = -9.74
- uncorrected formation energy (eV/atom) = -0.5066
- density of states at the Fermi level (states/eV/atom) = 1.13

Lattice parameters (Å, degrees): 10.501 10.501 10.501 109.47 109.47 109.47
Element x y z (fractional)
N1 0.708 0.125 0.026
N2 0.818 0.918 0.292
N3 0.974 0.600 0.182
N4 0.600 0.625 0.418
N5 0.125 0.708 0.526
N6 0.625 0.600 0.918
N7 0.182 0.100 0.974
N8 0.526 0.208 0.125
N9 0.582 0.875 0.400
N10 0.100 0.918 0.125
N11 0.375 0.400 0.082
N12 0.792 0.318 0.918
N13 0.900 0.082 0.875
N14 0.875 0.582 0.900
N15 0.292 0.875 0.974
N16 0.208 0.526 0.625
N17 0.026 0.625 0.708
N18 0.292 0.418 0.818
N19 0.318 0.792 0.418
N20 0.918 0.100 0.625
N21 0.100 0.182 0.474
N22 0.318 0.526 0.400
N23 0.625 0.026 0.208
N24 0.082 0.182 0.208
N25 0.400 0.026 0.318
N26 0.918 0.818 0.792
N27 0.600 0.974 0.682
N28 0.418 0.125 0.600
N29 0.474 0.682 0.100
N30 0.125 0.418 0.100
N31 0.082 0.900 0.375
N32 0.418 0.292 0.318
N33 0.474 0.792 0.875
N34 0.792 0.474 0.375
N35 0.682 0.208 0.582
N36 0.375 0.974 0.792
N37 0.182 0.082 0.708
N38 0.526 0.318 0.900
N39 0.582 0.708 0.682
N40 0.900 0.818 0.526
N41 0.208 0.682 0.082
N42 0.974 0.375 0.292
N43 0.875 0.292 0.474
N44 0.400 0.375 0.582
N45 0.818 0.900 0.026
N46 0.026 0.400 0.818
N47 0.682 0.474 0.600
N48 0.708 0.582 0.182
Mn1 0.250 0.875 0.125
Mn2 0.000 0.500 0.000
Mn3 0.500 0.000 0.000
Mn4 0.000 0.000 0.000
Mn5 0.375 0.125 0.750
Mn6 0.875 0.250 0.625
Mn7 0.125 0.375 0.250
Mn8 0.625 0.875 0.250
Mn9 0.375 0.250 0.125
Mn10 0.750 0.125 0.875
Mn11 0.500 0.000 0.500
Mn12 0.250 0.375 0.625
Mn13 0.000 0.500 0.500
Mn14 0.500 0.500 0.000
Mn15 0.625 0.750 0.875
Mn16 0.500 0.500 0.500
Mn17 0.875 0.625 0.750
Mn18 0.125 0.750 0.375
Mn19 0.000 0.000 0.500
Mn20 0.750 0.625 0.375
Np1 0.750 0.875 0.625
Np2 0.250 0.625 0.875
Np3 0.125 0.875 0.750
Np4 0.750 0.375 0.125
Np5 0.375 0.750 0.625
Np6 0.625 0.250 0.375
Np7 0.875 0.125 0.250
Np8 0.375 0.625 0.250
Np9 0.125 0.250 0.875
Np10 0.875 0.750 0.125
Np11 0.625 0.375 0.750
Np12 0.250 0.125 0.375


Entry 10:
Crystalline NpMn3N at its relaxed geometry, computed with PBE.

Properties
- space-group type = Pm-3m (221)
- E (eV per atom) = -9.85
- uncorrected formation energy (eV/atom) = -0.0938
- density of states at the Fermi level (states/eV/atom) = 1.40

Lattice parameters (Å, degrees): 3.927 3.927 3.927 90.00 90.00 90.00
Element x y z (fractional)
Mn1 0.000 0.500 0.000
Mn2 0.500 0.000 0.000
Mn3 0.000 0.000 0.500
Np1 0.500 0.500 0.500
N1 0.000 0.000 0.000


Entry 11:
Crystalline NpPaMnN4 at its relaxed geometry, computed with PBE.

Properties
- space-group type = I4mm (107)
- E (eV per atom) = -10.31
- uncorrected formation energy (eV/atom) = -1.0335
- density of states at the Fermi level (states/eV/atom) = 0.78

Lattice parameters (Å, degrees): 3.722 3.722 6.489 106.67 106.67 90.00
Element x y z (fractional)
N1 0.999 0.499 0.998
N2 0.499 0.999 0.998
N3 0.179 0.179 0.358
N4 0.823 0.823 0.646
Mn1 0.997 0.997 0.994
Np1 0.640 0.640 0.281
Pa1 0.362 0.362 0.724


Entry 12:
Crystalline NpPa2MnN4 at its relaxed geometry, computed with PBE.

Properties
- space-group type = Cmcm (63)
- E (eV per atom) = -10.48
- uncorrected formation energy (eV/atom) = -1.1782
- density of states at the Fermi level (states/eV/atom) = 1.11

Lattice parameters (Å, degrees): 3.339 5.980 11.458 90.00 90.00 106.21
Element x y z (fractional)
N1 0.277 0.554 0.372
N2 0.277 0.554 0.128
N3 0.723 0.446 0.628
N4 0.000 0.000 0.500
N5 0.450 0.900 0.750
N6 0.000 0.000 0.000
N7 0.550 0.100 0.250
N8 0.723 0.446 0.872
Pa1 0.366 0.733 0.942
Pa2 0.366 0.733 0.558
Pa3 0.634 0.267 0.058
Pa4 0.634 0.267 0.442
Mn1 0.845 0.690 0.750
Mn2 0.155 0.310 0.250
Np1 0.894 0.788 0.250
Np2 0.106 0.212 0.750


Among the records above, which one has the lowest density of states at the Fermi level?
YMnNiN2


Look up the density of states at the Fermi level of the ninth one.
1.13 states/eV/atom